CsMnAgF6 | GGA+U | relaxed

Summary:
* V: 20.7 Å³/atom
* final energy: -4.6591 eV per atom
* M_tot: 5.75 Bohr magnetons per cell

Cell lengths 6.005, 10.413, 5.955 Å; angles 90.00, 90.03, 90.00 degrees
Space group C2 (No. 5)
Asymmetric unit:
Cs 0.000 0.000 0.000 [2 per cell]
Mn 0.000 0.666 0.500 [2 per cell]
Ag 0.000 0.333 0.500 [2 per cell]
F 0.116 0.536 0.321 [4 per cell]
F 0.133 0.790 0.321 [4 per cell]
F 0.243 0.171 0.326 [4 per cell]